{
  "formula": "DyCo4Rh",
  "functional": "PBE",
  "state": "optimized geometry",
  "lattice_angstrom": [[0.000, 3.465, 3.465], [3.465, 0.000, 3.465], [3.465, 3.465, 0.000]],
  "species": ["Dy", "Co", "Co", "Co", "Co", "Rh"],
  "frac_coords": [[0.000, 0.000, 0.000], [0.126, 0.625, 0.625], [0.625, 0.126, 0.625], [0.625, 0.625, 0.126], [0.625, 0.625, 0.625], [0.250, 0.250, 0.250]],
  "m_tot_mub_per_cell": 6.93,
  "volume_a3_per_fu": 83.2,
  "n_ef_per_ev_cell": 6.8,
  "rho_g_cm3": 10.0,
  "e_form_mev_per_atom": -128.4
}

---

{
  "formula": "K2ZnAu2",
  "functional": "PBE",
  "state": "optimized geometry",
  "lattice_angstrom": [[-3.251, 3.251, 3.883], [3.251, -3.251, 3.883], [3.251, 3.251, -3.883]],
  "species": ["K", "K", "Zn", "Au", "Au"],
  "frac_coords": [[0.250, 0.750, 0.500], [0.750, 0.250, 0.500], [0.000, 0.000, 0.000], [0.326, 0.326, 0.000], [0.674, 0.674, 0.000]],
  "m_tot_mub_per_cell": 0.00,
  "relative_energy_kj_per_mol_fu": 48,
  "volume_a3_per_fu": 164.2,
  "n_ef_per_ev_cell": 2.1,
  "rho_g_cm3": 5.4,
  "e_form_mev_per_atom": -170.3
}